NaMg2Pt: optimized geometry, PBE.

Cell and atoms, written as CIF:
```
data_NaMg2Pt
_cell_length_a 4.372
_cell_length_b 4.372
_cell_length_c 18.558
_cell_angle_alpha 90.00
_cell_angle_beta 90.00
_cell_angle_gamma 90.00
_symmetry_space_group_name_H-M 'I -4 2 d'
_symmetry_Int_Tables_number 122
_symmetry_space_group_name_Hall 'I -4 2bw'
loop_
_atom_site_label
_atom_site_fract_x
_atom_site_fract_y
_atom_site_fract_z
Na1 0.000 0.000 0.000
Mg1 0.208 0.250 0.625
Pt1 0.000 0.000 0.500
```

Summary:
Crystal system: tetragonal
Energy of formation from the pure elements: -13.0 meV/atom
Final energy: -42.40 eV/cell
Density: 5.0 g cm⁻³
DOS at the Fermi energy: 6.82 states/eV per cell

---

EuPdPb2: optimized geometry, PBE.

Cell and atoms, written as CIF:
```
data_EuPdPb2
_cell_length_a 3.6066
_cell_length_b 3.6066
_cell_length_c 31.6042
_cell_angle_alpha 90.00
_cell_angle_beta 90.00
_cell_angle_gamma 120.00
_symmetry_space_group_name_H-M 'R -3 m'
_symmetry_Int_Tables_number 166
_symmetry_space_group_name_Hall '-R 3 2"'
loop_
_atom_site_label
_atom_site_fract_x
_atom_site_fract_y
_atom_site_fract_z
Eu1 0.0000 0.0000 0.0000
Pd1 0.0000 0.0000 0.5000
Pb1 0.0000 0.0000 0.1045
```

Summary:
Crystal system: trigonal
Energy of formation from the pure elements: -59.8 meV/atom
Final energy: -69.37 eV/cell
Density: 9.4 g cm⁻³
DOS at the Fermi energy: 6.99 states/eV per cell

---

ZnHg2Ir: optimized geometry, PBE.

Cell and atoms, written as CIF:
```
data_ZnHg2Ir
_cell_length_a 3.098
_cell_length_b 3.098
_cell_length_c 7.889
_cell_angle_alpha 90.00
_cell_angle_beta 90.00
_cell_angle_gamma 90.00
_symmetry_space_group_name_H-M 'P 4 m m'
_symmetry_Int_Tables_number 99
_symmetry_space_group_name_Hall 'P 4 -2'
loop_
_atom_site_label
_atom_site_fract_x
_atom_site_fract_y
_atom_site_fract_z
Zn1 0.000 0.000 0.000
Hg1 0.000 0.000 0.587
Hg2 0.500 0.500 0.269
Ir1 0.500 0.500 0.830
```

Summary:
Crystal system: tetragonal
Energy of formation from the pure elements: 183.7 meV/atom
Final energy: -10.00 eV/cell
Density: 14.5 g cm⁻³
DOS at the Fermi energy: 1.41 states/eV per cell